[1]
A plane-wave DFT calculation with GGA-PBE was carried out for a relaxed structure of K8Rb6Zn.

The structure in extended XYZ format:
```
15
Lattice="6.411 3.701 7.989 -6.411 3.701 7.989 0.000 -7.402 7.989" Properties=species:S:1:pos:R:3 pbc="T T T"
K -1.862 -5.302 10.049
K -5.522 -1.039 13.919
K 0.000 0.000 5.803
K -3.661 4.263 10.049
K 3.661 -4.263 13.919
K 0.000 0.000 18.164
K 5.522 1.039 10.049
K 1.862 5.302 13.919
Rb -2.825 -0.391 9.901
Rb -1.073 -2.642 14.067
Rb 1.751 -2.251 9.901
Rb -1.751 2.251 14.067
Rb 1.073 2.642 9.901
Rb 2.825 0.391 14.067
Zn 0.000 0.000 0.000
```

Computed properties:
Calculated total energy ... -1.019 eV per atom
ρ ... 1.30 g/cm3
D(E_F) ... 0.898 states/eV/atom
Magnetic moment ... 0.000 Bohr magnetons per cell
E_form ... 38 meV/atom

[2]
A plane-wave DFT calculation with GGA-PBE was carried out for a relaxed structure of K2RbZn.

The structure in extended XYZ format:
```
8
Lattice="-2.876 2.876 14.052 2.876 -2.876 14.052 2.876 2.876 -14.052" Properties=species:S:1:pos:R:3 pbc="T T T"
K 4.314 1.275 -3.513
K 1.275 1.438 3.513
K -1.438 1.601 10.539
K 1.601 1.438 17.565
Rb 2.876 0.000 7.026
Rb 0.000 0.000 14.052
Zn 0.000 0.000 0.000
Zn 0.000 2.876 7.026
```

Computed properties:
Calculated total energy ... -0.899 eV per atom
ρ ... 1.64 g/cm3
D(E_F) ... 0.812 states/eV/atom
Magnetic moment ... 0.000 Bohr magnetons per cell
E_form ... 210 meV/atom

[3]
A plane-wave DFT calculation with GGA-PBE was carried out for a relaxed structure of KRbZn3.

The structure in extended XYZ format:
```
5
Lattice="6.242 0.000 0.000 0.000 6.242 0.000 0.000 0.000 6.242" Properties=species:S:1:pos:R:3 pbc="T T T"
K 0.000 0.000 0.000
Rb 3.121 3.121 3.121
Zn 0.000 0.000 3.121
Zn 0.000 3.121 0.000
Zn 3.121 0.000 0.000
```

Computed properties:
Calculated total energy ... -0.676 eV per atom
ρ ... 2.19 g/cm3
D(E_F) ... 0.868 states/eV/atom
ΔE to the lowest computed polymorph ... 0 meV/atom
Magnetic moment ... 0.000 Bohr magnetons per cell
E_form ... 501 meV/atom

[4]
A plane-wave DFT calculation with GGA-PBE was carried out for a relaxed structure of KRb2Zn.

The structure in extended XYZ format:
```
4
Lattice="6.224 0.000 0.000 0.000 6.224 0.000 0.000 0.000 6.003" Properties=species:S:1:pos:R:3 pbc="T T T"
K 0.000 0.000 0.000
Rb 0.000 3.112 3.001
Rb 3.112 0.000 3.001
Zn 3.112 3.112 0.000
```

Computed properties:
Calculated total energy ... -0.907 eV per atom
ρ ... 1.97 g/cm3
D(E_F) ... 0.634 states/eV/atom
Magnetic moment ... 0.000 Bohr magnetons per cell
E_form ... 170 meV/atom

[5]
A plane-wave DFT calculation with GGA-PBE was carried out for a relaxed structure of KRb2Zn.

The structure in extended XYZ format:
```
8
Lattice="-2.995 2.995 14.169 2.995 -2.995 14.169 2.995 2.995 -14.169" Properties=species:S:1:pos:R:3 pbc="T T T"
K 0.000 0.000 0.000
K 0.000 2.995 7.085
Rb 1.498 -1.335 10.627
Rb 1.660 1.498 3.542
Rb 1.498 4.330 -3.542
Rb 1.335 1.498 17.711
Zn 2.995 0.000 7.085
Zn 0.000 0.000 14.169
```

Computed properties:
Calculated total energy ... -0.837 eV per atom
ρ ... 1.80 g/cm3
D(E_F) ... 0.745 states/eV/atom
Magnetic moment ... 0.000 Bohr magnetons per cell
E_form ... 240 meV/atom

[6]
A plane-wave DFT calculation with GGA-PBE was carried out for a relaxed structure of KRbZn2.

The structure in extended XYZ format:
```
4
Lattice="0.000 4.305 4.305 4.305 0.000 4.305 4.305 4.305 0.000" Properties=species:S:1:pos:R:3 pbc="T T T"
K 0.000 0.000 0.000
Rb 4.305 4.305 4.305
Zn 2.153 2.153 2.153
Zn 6.458 6.458 6.458
```

Computed properties:
Calculated total energy ... -0.921 eV per atom
ρ ... 2.66 g/cm3
D(E_F) ... 0.916 states/eV/atom
ΔE to the lowest computed polymorph ... 0 meV/atom
Magnetic moment ... 0.000 Bohr magnetons per cell
E_form ... 232 meV/atom

[7]
A plane-wave DFT calculation with GGA-PBE was carried out for a relaxed structure of K2Rb2Zn.

The structure in extended XYZ format:
```
10
Lattice="9.615 0.000 0.000 0.000 9.615 0.000 0.000 0.000 7.549" Properties=species:S:1:pos:R:3 pbc="T T T"
K 1.667 3.140 0.000
K 3.140 7.948 0.000
K 6.475 1.667 0.000
K 7.948 6.475 0.000
Rb 1.540 6.348 3.774
Rb 3.267 1.540 3.774
Rb 6.348 8.075 3.774
Rb 8.075 3.267 3.774
Zn 0.000 0.000 3.774
Zn 4.807 4.807 3.774
```

Computed properties:
Calculated total energy ... -0.913 eV per atom
ρ ... 1.50 g/cm3
D(E_F) ... 0.767 states/eV/atom
ΔE to the lowest computed polymorph ... 25 meV/atom
Magnetic moment ... 0.000 Bohr magnetons per cell
E_form ... 168 meV/atom

[8]
A plane-wave DFT calculation with GGA-PBE was carried out for a relaxed structure of KRbZn2.

The structure in extended XYZ format:
```
8
Lattice="-4.815 4.815 3.546 4.815 -4.815 3.546 4.815 4.815 -3.546" Properties=species:S:1:pos:R:3 pbc="T T T"
K 0.000 0.000 0.000
K 0.000 4.815 1.773
Rb 4.815 0.000 1.773
Rb 0.000 0.000 3.546
Zn 7.223 2.320 -0.887
Zn 2.320 2.408 0.887
Zn -2.408 2.495 2.660
Zn 2.495 2.408 4.433
```

Computed properties:
Calculated total energy ... -0.831 eV per atom
ρ ... 2.58 g/cm3
D(E_F) ... 0.919 states/eV/atom
ΔE to the lowest computed polymorph ... 90 meV/atom
Magnetic moment ... 0.000 Bohr magnetons per cell
E_form ... 322 meV/atom

[9]
A plane-wave DFT calculation with GGA-PBE was carried out for a relaxed structure of K3RbZn.

The structure in extended XYZ format:
```
5
Lattice="8.071 0.000 0.000 0.000 8.071 0.000 0.000 0.000 8.071" Properties=species:S:1:pos:R:3 pbc="T T T"
K 0.000 0.000 4.035
K 0.000 4.035 0.000
K 4.035 0.000 0.000
Rb 0.000 0.000 0.000
Zn 4.035 4.035 4.035
```

Computed properties:
Calculated total energy ... -0.643 eV per atom
ρ ... 0.85 g/cm3
D(E_F) ... 0.950 states/eV/atom
ΔE to the lowest computed polymorph ... 368 meV/atom
Magnetic moment ... 0.000 Bohr magnetons per cell
E_form ... 464 meV/atom

[10]
A plane-wave DFT calculation with GGA-PBE was carried out for a relaxed structure of KRb2Zn.

The structure in extended XYZ format:
```
4
Lattice="4.534 0.000 0.000 0.000 4.534 0.000 0.000 0.000 11.744" Properties=species:S:1:pos:R:3 pbc="T T T"
K 0.000 0.000 0.000
Rb 2.267 2.267 3.697
Rb 2.267 2.267 8.046
Zn 0.000 0.000 5.872
```

Computed properties:
Calculated total energy ... -0.956 eV per atom
ρ ... 1.89 g/cm3
D(E_F) ... 0.840 states/eV/atom
Magnetic moment ... 0.000 Bohr magnetons per cell
E_form ... 121 meV/atom

[11]
A plane-wave DFT calculation with GGA-PBE was carried out for a relaxed structure of K11Rb17Zn.

The structure in extended XYZ format:
```
29
Lattice="8.355 -12.175 0.000 8.355 12.175 0.000 -8.271 0.000 11.585" Properties=species:S:1:pos:R:3 pbc="T T T"
K 0.000 0.000 0.000
K 2.666 10.089 7.644
K -2.309 4.449 9.334
K 2.658 2.138 4.032
K 5.966 4.428 2.259
K 2.658 -2.138 4.032
K -2.309 -4.449 9.334
K 0.922 2.203 11.562
K 5.966 -4.428 2.259
K 0.922 -2.203 11.562
K 2.666 -10.089 7.644
Rb 6.791 8.279 4.685
Rb 2.257 4.858 7.783
Rb -0.728 0.000 7.413
Rb 9.832 7.523 0.023
Rb 4.747 0.000 0.017
Rb 6.891 3.650 7.032
Rb 10.514 4.788 3.787
Rb 4.159 0.000 8.376
Rb 7.594 0.000 4.207
Rb 5.307 3.557 11.580
Rb 2.257 -4.858 7.783
Rb 6.891 -3.650 7.032
Rb 12.456 0.000 3.260
Rb 9.832 -7.523 0.023
Rb 6.791 -8.279 4.685
Rb 5.307 -3.557 11.580
Rb 10.514 -4.788 3.787
Zn 7.962 0.000 8.001
```

Computed properties:
Calculated total energy ... -1.000 eV per atom
ρ ... 1.37 g/cm3
D(E_F) ... 0.805 states/eV/atom
Magnetic moment ... 0.000 Bohr magnetons per cell
E_form ... 27 meV/atom

[12]
A plane-wave DFT calculation with GGA-PBE was carried out for a relaxed structure of K12Rb7Zn.

The structure in extended XYZ format:
```
20
Lattice="12.763 7.369 2.769 -12.763 7.369 2.769 0.000 -14.737 2.769" Properties=species:S:1:pos:R:3 pbc="T T T"
K -5.209 -5.715 2.769
K -7.554 -1.654 2.769
K 0.000 -5.285 1.413
K -4.577 2.642 1.413
K 5.209 -5.715 2.769
K -2.344 7.369 2.769
K 4.577 2.642 1.413
K -4.577 -2.642 6.894
K 7.554 -1.654 2.769
K 2.344 7.369 2.769
K 4.577 -2.642 6.894
K 0.000 5.285 6.894
Rb 0.000 0.000 0.000
Rb -2.980 -1.720 2.672
Rb 2.980 -1.720 2.672
Rb 0.000 3.441 2.672
Rb 0.000 -3.441 5.635
Rb -2.980 1.720 5.635
Rb 2.980 1.720 5.635
Zn 0.000 0.000 4.154
```

Computed properties:
Calculated total energy ... -0.987 eV per atom
ρ ... 1.20 g/cm3
D(E_F) ... 0.864 states/eV/atom
Magnetic moment ... 0.000 Bohr magnetons per cell
E_form ... 74 meV/atom

[13]
A plane-wave DFT calculation with GGA-PBE was carried out for a relaxed structure of K3Rb8Zn.

The structure in extended XYZ format:
```
24
Lattice="15.042 0.000 0.000 -7.521 13.027 0.000 0.000 0.000 9.583" Properties=species:S:1:pos:R:3 pbc="T T T"
K 0.000 4.107 0.000
K -3.964 10.973 0.000
K 3.557 2.054 4.791
K 3.964 10.973 0.000
K 11.485 2.054 4.791
K 7.521 8.919 4.791
Rb 0.000 0.000 2.420
Rb 0.000 0.000 7.212
Rb -3.256 6.805 2.083
Rb 0.000 5.278 4.890
Rb -2.950 10.388 4.890
Rb 0.000 8.684 8.563
Rb 4.571 2.639 0.098
Rb 3.256 6.805 2.083
Rb 0.000 12.444 2.083
Rb 7.521 0.582 6.874
Rb 4.265 6.222 6.874
Rb 2.950 10.388 4.890
Rb 7.521 4.342 3.772
Rb 10.471 2.639 0.098
Rb 7.521 7.749 0.098
Rb 10.777 6.222 6.874
Zn 0.000 8.684 2.897
Zn 7.521 4.342 7.688
```

Computed properties:
Calculated total energy ... -0.969 eV per atom
ρ ... 1.53 g/cm3
D(E_F) ... 0.882 states/eV/atom
Magnetic moment ... 0.000 Bohr magnetons per cell
E_form ... 57 meV/atom

[14]
A plane-wave DFT calculation with GGA-PBE was carried out for a relaxed structure of K3RbZn.

The structure in extended XYZ format:
```
5
Lattice="6.869 0.000 0.000 0.000 6.869 0.000 0.000 0.000 6.869" Properties=species:S:1:pos:R:3 pbc="T T T"
K 0.000 0.000 3.435
K 0.000 3.435 0.000
K 3.435 0.000 0.000
Rb 3.435 3.435 3.435
Zn 0.000 0.000 0.000
```

Computed properties:
Calculated total energy ... -1.011 eV per atom
ρ ... 1.37 g/cm3
D(E_F) ... 0.674 states/eV/atom
ΔE to the lowest computed polymorph ... 0 meV/atom
Magnetic moment ... 0.000 Bohr magnetons per cell
E_form ... 96 meV/atom

[15]
A plane-wave DFT calculation with GGA-PBE was carried out for a relaxed structure of KRb2Zn.

The structure in extended XYZ format:
```
4
Lattice="2.381 1.375 15.466 -2.381 1.375 15.466 0.000 -2.749 15.466" Properties=species:S:1:pos:R:3 pbc="T T T"
K 0.000 0.000 0.000
Rb 0.000 0.000 19.427
Rb 0.000 0.000 26.971
Zn 0.000 0.000 23.199
```

Computed properties:
Calculated total energy ... -0.803 eV per atom
ρ ... 1.51 g/cm3
D(E_F) ... 1.098 states/eV/atom
Magnetic moment ... 0.000 Bohr magnetons per cell
E_form ... 273 meV/atom

[16]
A plane-wave DFT calculation with GGA-PBE was carried out for a relaxed structure of KRb2Zn.

The structure in extended XYZ format:
```
4
Lattice="2.477 1.430 12.299 -2.477 1.430 12.299 0.000 -2.860 12.299" Properties=species:S:1:pos:R:3 pbc="T T T"
K 0.000 0.000 0.000
Rb 0.000 0.000 20.694
Rb 0.000 0.000 28.489
Zn 0.000 0.000 6.139
```

Computed properties:
Calculated total energy ... -0.929 eV per atom
ρ ... 1.75 g/cm3
D(E_F) ... 0.786 states/eV/atom
Magnetic moment ... 0.000 Bohr magnetons per cell
E_form ... 148 meV/atom

[17]
A plane-wave DFT calculation with GGA-PBE was carried out for a relaxed structure of K2RbZn.

The structure in extended XYZ format:
```
4
Lattice="2.309 1.333 15.217 -2.309 1.333 15.217 0.000 -2.667 15.217" Properties=species:S:1:pos:R:3 pbc="T T T"
K 0.000 0.000 3.578
K 0.000 0.000 42.074
Rb 0.000 0.000 22.826
Zn 0.000 0.000 0.000
```

Computed properties:
Calculated total energy ... -0.838 eV per atom
ρ ... 1.35 g/cm3
D(E_F) ... 1.008 states/eV/atom
Magnetic moment ... 0.000 Bohr magnetons per cell
E_form ... 271 meV/atom

[18]
A plane-wave DFT calculation with GGA-PBE was carried out for a relaxed structure of K2RbZn.

The structure in extended XYZ format:
```
4
Lattice="4.421 0.000 0.000 0.000 4.421 0.000 0.000 0.000 11.590" Properties=species:S:1:pos:R:3 pbc="T T T"
K 0.000 0.000 2.022
K 0.000 0.000 9.568
Rb 2.211 2.211 5.795
Zn 2.211 2.211 0.000
```

Computed properties:
Calculated total energy ... -0.995 eV per atom
ρ ... 1.68 g/cm3
D(E_F) ... 0.794 states/eV/atom
Magnetic moment ... 0.000 Bohr magnetons per cell
E_form ... 114 meV/atom

[19]
A plane-wave DFT calculation with GGA-PBE was carried out for a relaxed structure of K2RbZn.

The structure in extended XYZ format:
```
4
Lattice="2.462 1.422 11.796 -2.462 1.422 11.796 0.000 -2.843 11.796" Properties=species:S:1:pos:R:3 pbc="T T T"
K 0.000 0.000 0.000
K 0.000 0.000 7.753
Rb 0.000 0.000 15.686
Zn 0.000 0.000 21.568
```

Computed properties:
Calculated total energy ... -0.969 eV per atom
ρ ... 1.54 g/cm3
D(E_F) ... 0.741 states/eV/atom
Magnetic moment ... 0.000 Bohr magnetons per cell
E_form ... 140 meV/atom

[20]
A plane-wave DFT calculation with GGA-PBE was carried out for a relaxed structure of KRbZr2Zn.

The structure in extended XYZ format:
```
5
Lattice="5.353 0.000 0.000 0.000 5.353 0.000 0.000 0.000 5.813" Properties=species:S:1:pos:R:3 pbc="T T T"
K 0.000 0.000 0.000
Rb 0.000 0.000 2.906
Zr 0.000 2.677 0.000
Zr 2.677 0.000 0.000
Zn 2.677 2.677 2.906
```

Computed properties:
Calculated total energy ... -2.130 eV per atom
ρ ... 3.71 g/cm3
D(E_F) ... 1.031 states/eV/atom
ΔE to the lowest computed polymorph ... 1072 meV/atom
Magnetic moment ... 0.000 Bohr magnetons per cell
E_form ... 1957 meV/atom